Entry 1:
ScHgMo2 PBEsol relaxed; raw total energy = -7.433 eV per atom; space-group type = Immm (71); D(E_F) = 3.78 states/eV per cell
1.0
-2.4699 1.5765 1.8734
0.1435 -3.1978 2.8803
4.4251 3.0974 -0.0006
Hg Mo Sc
1 2 1
direct
0.0000 0.5000 0.0000
0.7528 0.7528 0.5055
0.2472 0.2472 0.4945
0.5000 0.0000 0.0000


Entry 2:
InCuCBr2 PBEsol relaxed; raw total energy = -3.474 eV per atom; space-group type = P4/mmm (123); D(E_F) = 1.74 states/eV per cell
1.0
3.6386 0.0000 0.0000
0.0000 5.4266 0.0000
0.0000 0.0000 5.4266
C Cu Br In
1 1 2 1
direct
0.5000 0.0000 0.0000
0.0000 0.0000 0.0000
0.0000 0.0000 0.5000
0.0000 0.5000 0.0000
0.5000 0.5000 0.5000


Entry 3:
ErGeAu PBEsol relaxed; raw total energy = -5.476 eV per atom; space-group type = P6_3mc (186); D(E_F) = 0.69 states/eV per cell
1.0
4.3941 0.0000 0.0000
-2.1970 3.8054 0.0000
0.0000 0.0000 7.0914
Ge Au Er
2 2 2
direct
0.3333 0.6667 0.2929
0.6667 0.3333 0.7929
0.3333 0.6667 0.7059
0.6667 0.3333 0.2059
0.0000 0.0000 0.0005
0.0000 0.0000 0.5005


Entry 4:
Cd2AgRh PBEsol relaxed; offset from the most stable computed form = 0.123 eV/atom; space-group type = Pmm2 (25); D(E_F) = 1.93 states/eV per cell
1.0
-0.3488 2.8547 -0.6604
-2.3692 -1.0076 -3.1044
-4.5693 0.2310 3.4122
Ag Cd Rh
1 2 1
direct
0.5000 0.5000 0.7484
0.0000 0.0000 0.9862
0.5000 0.5000 0.2738
0.0000 0.0000 0.4916


Entry 5:
YTl2Hg PBEsol relaxed; raw total energy = -3.469 eV per atom; space-group type = I-4m2 (119); D(E_F) = 1.94 states/eV per cell
1.0
4.5503 0.0000 0.0000
0.0000 4.5503 0.0000
-2.2751 -2.2751 4.7714
Y Tl Hg
1 2 1
direct
0.5000 0.5000 0.0000
0.0000 0.0000 0.0000
0.7500 0.2500 0.5000
0.2500 0.7500 0.5000


Entry 6:
BaTlIrN2 PBEsol relaxed; raw total energy = -4.793 eV per atom; space-group type = P4/mmm (123); D(E_F) = 5.91 states/eV per cell
1.0
-0.5369 0.7555 4.3768
-3.8846 -2.2174 -0.0938
2.4911 -4.4093 1.0667
Tl Ir Ba N
1 1 1 2
direct
0.0000 0.0000 0.0000
0.0000 0.0000 0.5000
0.5000 0.5000 0.5000
0.0000 0.5000 0.0000
0.5000 0.0000 0.0000


Entry 7:
LiSiOF2 PBEsol relaxed; raw total energy = -5.414 eV per atom; space-group type = P4/mmm (123); D(E_F) = 0.56 states/eV per cell
1.0
3.4973 0.0000 0.0000
0.0000 4.0657 0.0000
0.0000 0.0000 4.0657
Si Li O F
1 1 1 2
direct
0.0000 0.0000 0.0000
0.5000 0.5000 0.5000
0.5000 0.0000 0.0000
0.0000 0.0000 0.5000
0.0000 0.5000 0.0000


Entry 8:
BeNi6Ru PBEsol relaxed; raw total energy = -6.417 eV per atom; space-group type = Cmmm (65); D(E_F) = 43.17 states/eV per cell
1.0
-4.1571 3.7522 -2.1945
-2.4755 -3.6075 4.1271
2.1918 6.5410 7.0321
Be Ni Ru
4 24 4
direct
0.2441 0.7559 0.0000
0.7559 0.2441 0.0000
0.5000 0.5000 0.7586
0.5000 0.5000 0.2414
0.2513 0.7487 0.7560
0.8705 0.6185 0.8789
0.1295 0.3815 0.8789
0.7487 0.2513 0.7560
0.3815 0.1295 0.8789
0.6185 0.8705 0.8789
0.5000 0.5000 0.5000
0.1332 0.3800 0.6306
0.3800 0.1332 0.6306
0.2513 0.7487 0.2440
0.8668 0.6200 0.3694
0.1332 0.3800 0.3694
0.7487 0.2513 0.2440
0.3800 0.1332 0.3694
0.6200 0.8668 0.3694
0.5000 0.5000 0.0000
0.1295 0.3815 0.1211
0.3815 0.1295 0.1211
0.0000 0.0000 0.5000
0.6200 0.8668 0.6306
0.8668 0.6200 0.6306
0.0000 0.0000 0.0000
0.6185 0.8705 0.1211
0.8705 0.6185 0.1211
0.2473 0.7527 0.5000
0.7527 0.2473 0.5000
0.0000 0.0000 0.7552
0.0000 0.0000 0.2448


Entry 9:
Ac2AgPb PBEsol relaxed; raw total energy = -4.464 eV per atom; space-group type = Fm-3m (225); D(E_F) = 4.04 states/eV per cell
1.0
5.6429 0.0000 0.0000
2.8214 4.8869 0.0000
2.8214 1.6290 4.6074
Pb Ac Ag
1 2 1
direct
0.5000 0.5000 0.5000
0.7500 0.7500 0.7500
0.2500 0.2500 0.2500
0.0000 0.0000 0.0000


Entry 10:
Sr5Mo2P7 PBEsol relaxed; raw total energy = -6.054 eV per atom; space-group type = P-1 (2)
1.0
7.3936 -0.0076 -0.0289
-0.2147 10.4040 -0.0083
-1.6747 -4.4068 9.3930
Mo P Sr
4 14 10
direct
0.8872 0.7822 0.0935
0.1128 0.2178 0.9065
0.4230 0.6347 0.5228
0.5770 0.3653 0.4772
0.9677 0.3547 0.0872
0.0323 0.6453 0.9128
0.6421 0.6578 0.1095
0.3579 0.3422 0.8905
0.7636 0.9668 0.0583
0.2364 0.0332 0.9417
0.0830 0.8692 0.3062
0.9170 0.1308 0.6938
0.5738 0.8059 0.4906
0.4262 0.1941 0.5094
0.8391 0.2992 0.3931
0.1609 0.7008 0.6069
0.3891 0.4229 0.3141
0.6109 0.5771 0.6859
0.8706 0.8526 0.7695
0.1294 0.1474 0.2305
0.8541 0.5932 0.3488
0.1459 0.4068 0.6512
0.5900 0.2283 0.0894
0.4100 0.7717 0.9106
0.2741 0.5957 0.1583
0.7259 0.4043 0.8417
0.2811 0.9956 0.6175
0.7189 0.0044 0.3825


Entry 11:
CaInAs2 PBEsol relaxed; raw total energy = -4.244 eV per atom; space-group type = I-4m2 (119); D(E_F) = 2.35 states/eV per cell
1.0
-2.0031 3.2890 -1.4303
-2.7420 -0.3483 3.0390
5.2805 1.5944 2.1706
As Ca In
2 1 1
direct
0.0000 0.0000 0.0000
0.7500 0.2500 0.5000
0.5000 0.5000 0.0000
0.2500 0.7500 0.5000


Entry 12:
ErAlAg2 PBEsol relaxed; raw total energy = -4.277 eV per atom; space-group type = Fm-3m (225); D(E_F) = 1.42 states/eV per cell
1.0
4.7236 0.0000 0.0000
2.3618 4.0907 0.0000
2.3618 1.3636 3.8568
Al Ag Er
1 2 1
direct
0.5000 0.5000 0.5000
0.2500 0.2500 0.2500
0.7500 0.7500 0.7500
0.0000 0.0000 0.0000


Entry 13:
La2ClF PBEsol relaxed; raw total energy = -5.230 eV per atom; space-group type = Fm-3m (225); D(E_F) = 4.35 states/eV per cell
1.0
-0.4197 -4.2681 2.3129
3.7889 -1.8173 2.4666
-0.1006 -0.1325 4.8698
F Cl La
1 1 2
direct
0.0000 0.0000 0.0000
0.5000 0.5000 0.5000
0.2500 0.2500 0.2500
0.7500 0.7500 0.7500


Entry 14:
BeAgSb2 PBEsol relaxed; raw total energy = -3.873 eV per atom; space-group type = Immm (71); D(E_F) = 1.46 states/eV per cell
1.0
-0.1396 -3.0889 -0.7688
0.3686 -0.9797 3.8693
-6.4859 2.1630 -0.9107
Sb Ag Be
2 1 1
direct
0.6613 0.6613 0.3226
0.3387 0.3387 0.6774
0.5000 0.0000 0.0000
0.0000 0.5000 0.0000


Entry 15:
Cs2NiClF PBEsol relaxed; raw total energy = -3.508 eV per atom; space-group type = P4/mmm (123)
1.0
4.1496 0.0000 0.0000
0.0000 5.9606 0.0000
0.0000 0.0000 5.9606
Cs Ni F Cl
2 1 1 1
direct
0.0000 0.0000 0.5000
0.0000 0.5000 0.0000
0.0000 0.0000 0.0000
0.5000 0.5000 0.5000
0.5000 0.0000 0.0000


Entry 16:
CaSbP PBEsol relaxed; offset from the most stable computed form = 0.000 eV/atom; space-group type = F-43m (216); D(E_F) = 2.16 states/eV per cell
1.0
-0.1550 -0.4199 -4.7718
2.5231 -3.4387 -2.1862
-2.2579 -3.7213 -2.0061
Sb Ca P
1 1 1
direct
0.0000 0.0000 0.0000
0.5000 0.5000 0.5000
0.2500 0.2500 0.2500


Entry 17:
Rb2TcAg PBEsol relaxed; raw total energy = -2.626 eV per atom; space-group type = Fm-3m (225); D(E_F) = 4.93 states/eV per cell
1.0
5.7934 0.0000 0.0000
2.8967 5.0172 0.0000
2.8967 1.6724 4.7303
Rb Tc Ag
2 1 1
direct
0.2500 0.2500 0.2500
0.7500 0.7500 0.7500
0.0000 0.0000 0.0000
0.5000 0.5000 0.5000


Entry 18:
SiSbS3 PBEsol relaxed; raw total energy = -4.031 eV per atom; space-group type = Pm-3m (221); D(E_F) = 3.55 states/eV per cell
1.0
-3.9252 2.3419 1.8144
0.1819 -2.8157 4.0277
2.9569 3.2819 2.1608
Sb S Si
1 3 1
direct
0.0000 0.0000 0.0000
0.0000 0.5000 0.0000
0.0000 0.0000 0.5000
0.5000 0.0000 0.0000
0.5000 0.5000 0.5000


Entry 19:
BaBiO3 PBEsol relaxed; raw total energy = -6.262 eV per atom; space-group type = Pm-3m (221); D(E_F) = 0.90 states/eV per cell
1.0
-2.8776 2.5606 -2.0682
-2.1060 0.6789 3.7708
2.5296 3.4781 0.7866
Bi O Ba
1 3 1
direct
0.0000 0.0000 0.0000
0.0000 0.5000 0.0000
0.0000 0.0000 0.5000
0.5000 0.0000 0.0000
0.5000 0.5000 0.5000


Entry 20:
ScPdSeN2 PBEsol relaxed; raw total energy = -5.906 eV per atom; space-group type = P4/mmm (123); D(E_F) = 5.36 states/eV per cell
1.0
-0.4823 3.2348 -2.2930
-1.5589 -2.2785 -2.8865
-4.8648 0.7291 2.0517
Sc Se Pd N
1 1 1 2
direct
0.0000 0.0000 0.0000
0.0000 0.0000 0.5000
0.5000 0.5000 0.5000
0.0000 0.5000 0.0000
0.5000 0.0000 0.0000